Entry 1:
VASP calculation (PBE-GGA) on a geometry-optimized LiFeCuBi structure. Values from VASP.

Geometry as Quantum ESPRESSO input:
```
&SYSTEM
  ibrav = 0, nat = 4, ntyp = 4
/
ATOMIC_SPECIES
Bi 208.98 Bi.upf
Cu 63.55 Cu.upf
Fe 55.84 Fe.upf
Li 6.94 Li.upf
CELL_PARAMETERS angstrom
0.000 3.084 3.084
3.084 0.000 3.084
3.084 3.084 0.000
ATOMIC_POSITIONS crystal
Bi 0.250 0.250 0.250
Cu 0.750 0.750 0.750
Fe 0.500 0.500 0.500
Li 0.000 0.000 0.000
```

## Properties
E above lowest polymorph = 0.0 kJ per mole of atoms
Spin magnetization = 2.0 μB per cell

Entry 2:
VASP calculation (PBE-GGA) on a geometry-optimized SrAcHf structure. Values from VASP.

Geometry as Quantum ESPRESSO input:
```
&SYSTEM
  ibrav = 0, nat = 3, ntyp = 3
/
ATOMIC_SPECIES
Ac 227.00 Ac.upf
Hf 178.49 Hf.upf
Sr 87.62 Sr.upf
CELL_PARAMETERS angstrom
5.597 0.714 0.305
2.148 4.182 3.133
2.742 -1.185 4.796
ATOMIC_POSITIONS crystal
Ac 0.250 0.250 0.250
Hf 0.000 0.000 0.000
Sr 0.750 0.750 0.750
```

## Properties
E above lowest polymorph = 0.0 kJ per mole of atoms
Spin magnetization = 0.0 μB per cell

Entry 3:
VASP calculation (PBE-GGA) on a geometry-optimized YFeCuMo structure. Values from VASP.

Geometry as Quantum ESPRESSO input:
```
&SYSTEM
  ibrav = 0, nat = 4, ntyp = 4
/
ATOMIC_SPECIES
Cu 63.55 Cu.upf
Fe 55.84 Fe.upf
Mo 95.94 Mo.upf
Y 88.91 Y.upf
CELL_PARAMETERS angstrom
-4.043 -1.864 -0.173
-2.979 0.840 3.205
-3.574 2.509 -0.883
ATOMIC_POSITIONS crystal
Cu 0.750 0.750 0.750
Fe 0.000 0.000 0.000
Mo 0.250 0.250 0.250
Y 0.500 0.500 0.500
```

## Properties
E above lowest polymorph = 8.7 kJ per mole of atoms
Spin magnetization = 0.0 μB per cell
Formation energy from the elements = 0.413 eV per atom

Entry 4:
VASP calculation (PBE-GGA) on a geometry-optimized BaHoTa structure. Values from VASP.

Geometry as Quantum ESPRESSO input:
```
&SYSTEM
  ibrav = 0, nat = 3, ntyp = 3
/
ATOMIC_SPECIES
Ba 137.33 Ba.upf
Ho 164.93 Ho.upf
Ta 180.95 Ta.upf
CELL_PARAMETERS angstrom
1.073 3.418 3.693
-3.802 2.029 2.811
-0.522 -1.310 4.948
ATOMIC_POSITIONS crystal
Ba 0.000 0.000 0.000
Ho 0.250 0.250 0.250
Ta 0.750 0.750 0.750
```

## Properties
DFT total energy = -12.95 eV per formula unit
Spin magnetization = 2.1 μB per cell

Entry 5:
VASP calculation (PBE-GGA) on a geometry-optimized Gd3ErTm2Te2Pt structure. Values from VASP.

Geometry as Quantum ESPRESSO input:
```
&SYSTEM
  ibrav = 0, nat = 9, ntyp = 5
/
ATOMIC_SPECIES
Er 167.26 Er.upf
Gd 157.25 Gd.upf
Pt 195.08 Pt.upf
Te 127.60 Te.upf
Tm 168.93 Tm.upf
CELL_PARAMETERS angstrom
-3.890 0.041 0.848
1.215 -5.852 5.858
0.522 8.110 2.000
ATOMIC_POSITIONS crystal
Er 0.000 0.243 0.243
Gd 0.500 0.402 0.000
Gd 0.500 0.000 0.402
Gd 0.500 0.599 0.599
Pt 0.500 0.998 0.998
Te 0.000 0.667 0.333
Te 0.000 0.333 0.667
Tm 0.000 0.758 0.000
Tm 0.000 0.000 0.758
```

## Properties
DFT total energy = -48.24 eV per formula unit
Spin magnetization = 0.2 μB per cell

Entry 6:
VASP calculation (PBE-GGA) on a geometry-optimized TmTcAsO structure. Values from VASP.

Geometry as Quantum ESPRESSO input:
```
&SYSTEM
  ibrav = 0, nat = 8, ntyp = 4
/
ATOMIC_SPECIES
As 74.92 As.upf
O 16.00 O.upf
Tc 98.00 Tc.upf
Tm 168.93 Tm.upf
CELL_PARAMETERS angstrom
3.924 0.000 0.000
0.000 3.924 0.000
0.000 0.000 8.411
ATOMIC_POSITIONS crystal
As 0.000 0.500 0.316
As 0.500 0.000 0.684
O 0.000 0.000 0.000
O 0.500 0.500 0.000
Tc 0.000 0.000 0.500
Tc 0.500 0.500 0.500
Tm 0.500 0.000 0.125
Tm 0.000 0.500 0.875
```

## Properties
E above lowest polymorph = 0.0 kJ per mole of atoms
Spin magnetization = 0.0 μB per cell